# PaMoN (PBE, optimized geometry)
data_PaMoN
_cell_length_a 3.1305
_cell_length_b 3.1305
_cell_length_c 5.5116
_cell_angle_alpha 90.00
_cell_angle_beta 90.00
_cell_angle_gamma 120.00
_space_group_name_H-M_alt 'P 3 m 1'
_space_group_IT_number 156
_space_group_name_Hall 'P 3 -2"'
loop_
_atom_site_label
_atom_site_type_symbol
_atom_site_fract_x
_atom_site_fract_y
_atom_site_fract_z
Pa1 Pa 0.0000 0.0000 0.0000
Mo1 Mo 0.3333 0.6667 0.4985
N1 N 0.6667 0.3333 0.3026
# Final energy: -29.9 eV for the cell shown
# ΔE to the lowest computed polymorph: 177 meV per atom
# Calculated volume: 15.592 A^3/atom
# DOS(E_F): 3.33 states/eV/f.u.
# E_form (uncorrected): -428 meV/atom

***

# PaMoN2 (PBE, optimized geometry)
data_PaMoN2
_cell_length_a 5.671
_cell_length_b 3.202
_cell_length_c 11.102
_cell_angle_alpha 90.00
_cell_angle_beta 90.00
_cell_angle_gamma 90.00
_space_group_name_H-M_alt 'P n m a'
_space_group_IT_number 62
_space_group_name_Hall '-P 2ac 2n'
loop_
_atom_site_label
_atom_site_type_symbol
_atom_site_fract_x
_atom_site_fract_y
_atom_site_fract_z
Pa1 Pa 0.074 0.250 0.147
Mo1 Mo 0.070 0.750 0.404
N1 N 0.171 0.250 0.753
N2 N 0.244 0.750 0.997
# Final energy: -166.0 eV for the cell shown
# ΔE to the lowest computed polymorph: 0 meV per atom
# Calculated volume: 12.598 A^3/atom
# DOS(E_F): 3.22 states/eV/f.u.
# E_form (uncorrected): -1133 meV/atom

***

# Pa3Mo4N12 (PBE, optimized geometry)
data_Pa3Mo4N12
_cell_length_a 7.848
_cell_length_b 7.848
_cell_length_c 7.848
_cell_angle_alpha 90.00
_cell_angle_beta 90.00
_cell_angle_gamma 90.00
_space_group_name_H-M_alt 'I m -3'
_space_group_IT_number 204
_space_group_name_Hall '-I 2 2 3'
loop_
_atom_site_label
_atom_site_type_symbol
_atom_site_fract_x
_atom_site_fract_y
_atom_site_fract_z
Pa1 Pa 0.000 0.000 0.500
Mo1 Mo 0.250 0.250 0.250
N1 N 0.000 0.302 0.210
# Final energy: -372.0 eV for the cell shown
# Calculated volume: 12.720 A^3/atom
# DOS(E_F): 3.29 states/eV/f.u.
# E_form (uncorrected): -753 meV/atom